## Ca2RhWO6 (PBE+U)

Data for a relaxed Ca2RhWO6 crystal.

Properties
total DFT energy (no corrections) = -6.775 eV per atom
crystal system = tetragonal
symmetry = P4mm, No. 99
Fermi-level density of states = 2.87 states/eV/cell

a b c (Å): 5.562 5.562 4.159
angles (deg): 90.00 90.00 90.00
Fractional positions:
Ca 0.000 0.500 0.000
Ca 0.500 0.000 0.000
Rh 0.000 0.000 0.593
W 0.500 0.500 0.571
O 0.000 0.000 0.098
O 0.255 0.255 0.618
O 0.255 0.745 0.618
O 0.500 0.500 0.092
O 0.745 0.255 0.618
O 0.745 0.745 0.618